DFT (PBE) results for a relaxed NdHoSi crystal.

Energy relative to the lowest polymorph listed for this composition   63 meV per atom
M_tot   0.0 Bohr magnetons per cell
SG   F-43m
DOS at the Fermi energy   0.77 states/eV per atom
Formation energy without anion corrections   -128 kJ/mol of formula units

abc: 4.9259 4.9259 4.9259
angles: 60.00 60.00 60.00
With the nearest neighbours (Å) after each atom.
Element x y z (fractional)
Nd (0.5000, 0.5000, 0.5000)  4 Si 3.02
Si (0.2500, 0.2500, 0.2500)  4 Ho 3.02, 4 Nd 3.02
Ho (0.0000, 0.0000, 0.0000)  4 Si 3.02

DFT (PBE) results for a relaxed Zr2AlGaH crystal.

M_tot   0.0 Bohr magnetons per cell
SG   P4/mmm
DOS at the Fermi energy   0.43 states/eV per atom
Energy   -5.80 eV per atom

abc: 4.3179 4.3179 4.2047
angles: 90.00 90.00 90.00
With the nearest neighbours (Å) after each atom.
Element x y z (fractional)
Zr (0.5000, 0.0000, 0.0000)  2 H 2.16
Zr (0.0000, 0.5000, 0.0000)  2 H 2.16
Ga (0.5000, 0.5000, 0.5000)  8 Zr 3.01, 4 Al 3.05
H (0.0000, 0.0000, 0.0000)  2 Al 2.10, 4 Zr 2.16
Al (0.0000, 0.0000, 0.5000)  2 H 2.10

DFT (PBE) results for a relaxed Ac8CoRu3Cl4 crystal.

M_tot   0.0 Bohr magnetons per cell
SG   C2/m
DOS at the Fermi energy   0.54 states/eV per atom
Formation energy without anion corrections   -1394 kJ/mol of formula units

abc: 8.5258 9.3902 8.5251
angles: 117.05 120.00 90.00
With the nearest neighbours (Å) after each atom.
Element x y z (fractional)
Ru (0.5000, 0.5000, 0.5000)  6 Ac 2.94-2.95
Ru (0.5000, 0.5000, 0.0000)  6 Ac 2.94-2.95
Ru (0.0000, 0.5000, 0.5000)  6 Ac 2.94-2.95
Ac (0.2656, 0.2973, 0.5311)  3 Ru 2.95
Ac (0.7666, 0.2985, 0.0313)  1 Co 2.93, 2 Ru 2.94-2.95
Ac (0.2335, 0.7016, 0.4669)  1 Co 2.93, 2 Ru 2.94
Ac (0.7353, 0.7015, 0.9687)  1 Co 2.93, 2 Ru 2.94-2.95
Ac (0.7665, 0.2984, 0.5331)  1 Co 2.93, 2 Ru 2.94
Ac (0.7344, 0.7027, 0.4689)  3 Ru 2.95
Ac (0.2647, 0.2985, 0.0313)  1 Co 2.93, 2 Ru 2.94-2.95
Ac (0.2334, 0.7015, 0.9687)  1 Co 2.93, 2 Ru 2.94-2.95
Cl (0.5000, 0.0000, 0.5000)  6 Ac 3.42-3.43
Cl (0.0000, 0.0000, 0.5000)  6 Ac 3.42-3.43
Cl (0.0000, 0.0000, 0.0000)  6 Ac 3.42-3.43
Cl (0.5000, 0.0000, 0.0000)  6 Ac 3.43-3.44
Co (0.0000, 0.5000, 0.0000)  6 Ac 2.93

DFT (PBE) results for a relaxed ScTaFe crystal.

Formation enthalpy at 0 K   -26.2 meV/atom
Energy relative to the lowest polymorph listed for this composition   0 meV per atom
M_tot   0.2 Bohr magnetons per cell
SG   I4mm
DOS at the Fermi energy   1.12 states/eV per atom

abc: 5.5843 5.5845 3.1106
angles: 73.83 73.83 32.34
With the nearest neighbours (Å) after each atom.
Element x y z (fractional)
Sc (0.3432, 0.3432, 0.6568)  4 Fe 2.81, 5 Ta 3.01-3.08, 4 Sc 3.11
Fe (0.0131, 0.0131, 0.9869)  4 Ta 2.58, 4 Sc 2.81
Ta (0.6437, 0.6437, 0.3563)  4 Fe 2.58